{
  "formula": "PrTm2PaAs4",
  "functional": "PBE",
  "state": "optimized geometry",
  "lattice": [[-1.048, 3.876, 0.982], [-2.541, -2.269, 6.241], [5.225, 0.168, 4.913]],
  "species": ["Pr", "Tm", "Tm", "Pa", "As", "As", "As", "As"],
  "frac_coords": [[0.500, 0.500, 0.000], [0.000, 0.000, 0.000], [0.500, 0.000, 0.500], [0.000, 0.500, 0.500], [0.000, 0.759, 0.738], [0.000, 0.241, 0.262], [0.500, 0.756, 0.255], [0.500, 0.244, 0.745]],
  "spacegroup": "P2/m",
  "dos_at_fermi_per_ev_cell": 5.57,
  "energy_ev_per_atom": -6.603
}